LiY2MnC, relaxed, DFT PBE; spin magnetization = 1.47 μB per cell; distance to the lowest polymorph of the same formula = 0 meV per atom; symmetry = No. 123; ΔH_f (0 K) = -129 meV per atom; calculated total energy = -6.78 eV per atom
1.0
5.022 0.000 0.000
0.000 5.022 0.000
0.000 0.000 3.789
Li Y Mn C
1 2 1 1
Cartesian
0.000 0.000 0.000
0.000 2.511 1.895
2.511 0.000 1.895
2.511 2.511 0.000
2.511 2.511 1.895